Record 1
LiSc2GaO: relaxed, GGA-PBE.

Summary:
E_tot	-6.03	eV/atom
V	75.84	Å³ per cell
uncorrected formation energy	-1.515	eV/atom
mass density	4.0	Mg/m³
crystal system	tetragonal
D(E_F)	1.3	states/eV/cell

Cell lengths 4.3909, 4.3909, 3.9335 Å; angles 90.00, 90.00, 90.00 degrees
Element x y z (fractional)
Li 0.0000 0.0000 0.0000
Sc 0.0000 0.5000 0.5000
Sc 0.5000 0.0000 0.5000
Ga 0.5000 0.5000 0.0000
O 0.0000 0.0000 0.5000

Record 2
Na2Li2As3: relaxed, GGA-PBE.

Summary:
E_tot	-3.35	eV/atom
V	145.05	Å³ per cell
mass density	3.3	Mg/m³
crystal system	monoclinic
formation energy	-435.8	meV per atom
D(E_F)	1.8	states/eV/cell

Cell lengths 5.9506, 5.9506, 7.0844 Å; angles 119.70, 119.70, 43.09 degrees
Element x y z (fractional)
Na 0.1585 0.1585 0.2781
Na 0.8415 0.8415 0.7219
Li 0.1308 0.1308 0.7646
Li 0.8692 0.8692 0.2354
As 0.4124 0.4124 0.0557
As 0.5000 0.5000 0.5000
As 0.5876 0.5876 0.9443

Record 3
Gd2UGa: relaxed, GGA-PBE.

Summary:
E_tot	-10.54	eV/atom
V	102.66	Å³ per cell
mass density	10.1	Mg/m³
crystal system	trigonal
formation energy	79.3	meV per atom
D(E_F)	7.1	states/eV/cell

Cell lengths 10.5391, 10.5391, 10.5391 Å; angles 18.47, 18.47, 18.47 degrees
Element x y z (fractional)
Gd 0.2452 0.2452 0.2452
Gd 0.7548 0.7548 0.7548
U 0.0000 0.0000 0.0000
Ga 0.5000 0.5000 0.5000

Record 4
Be2CrAsSe: relaxed, GGA-PBE.

Summary:
E_tot	-4.07	eV/atom
V	84.25	Å³ per cell
uncorrected formation energy	0.971	eV/atom
mass density	4.4	Mg/m³
crystal system	tetragonal
D(E_F)	3.6	states/eV/cell

Cell lengths 4.3920, 4.3920, 4.3678 Å; angles 90.00, 90.00, 90.00 degrees
Element x y z (fractional)
Be 0.0000 0.5000 0.0000
Be 0.5000 0.0000 0.0000
Cr 0.0000 0.0000 0.0000
As 0.5000 0.5000 0.5000
Se 0.0000 0.0000 0.5000

Record 5
Ba3Hg: relaxed, GGA-PBE.

Summary:
E_tot	-1.57	eV/atom
V	192.66	Å³ per cell
mass density	5.3	Mg/m³
crystal system	trigonal
formation energy	-51.8	meV per atom
D(E_F)	4.1	states/eV/cell

Cell lengths 7.2731, 7.2731, 7.2731 Å; angles 116.07, 116.07, 116.07 degrees
Element x y z (fractional)
Ba 0.0000 0.5000 0.5000
Ba 0.5000 0.0000 0.5000
Ba 0.5000 0.5000 0.0000
Hg 0.0000 0.0000 0.0000

Record 6
TbPrTm2Se4: relaxed, GGA-PBE.

Summary:
E_tot	-5.77	eV/atom
V	195.08	Å³ per cell
uncorrected formation energy	-1.735	eV/atom
mass density	8.1	Mg/m³
crystal system	monoclinic
D(E_F)	3.8	states/eV/cell

Cell lengths 7.0243, 4.0223, 7.2804 Å; angles 90.00, 108.49, 90.00 degrees
Element x y z (fractional)
Tb 0.0000 0.0000 0.0000
Pr 0.5000 0.5000 0.0000
Tm 0.0000 0.5000 0.5000
Tm 0.5000 0.0000 0.5000
Se 0.2378 0.0000 0.7318
Se 0.2488 0.5000 0.2636
Se 0.7512 0.5000 0.7364
Se 0.7622 0.0000 0.2682

Record 7
YBe2Br: relaxed, GGA-PBE.

Summary:
E_tot	-3.52	eV/atom
V	74.38	Å³ per cell
uncorrected formation energy	0.377	eV/atom
mass density	4.2	Mg/m³
crystal system	cubic
D(E_F)	1.1	states/eV/cell

Cell lengths 4.7204, 4.7204, 4.7204 Å; angles 60.00, 60.00, 60.00 degrees
Element x y z (fractional)
Y 0.0000 0.0000 0.0000
Be 0.2500 0.2500 0.2500
Be 0.5000 0.5000 0.5000
Br 0.7500 0.7500 0.7500

Record 8
BaLi2NiGe: relaxed, GGA-PBE.

Summary:
E_tot	-3.45	eV/atom
V	111.03	Å³ per cell
mass density	4.2	Mg/m³
crystal system	tetragonal
formation energy	-218.2	meV per atom
D(E_F)	3.0	states/eV/cell

Cell lengths 4.9525, 4.9525, 4.5267 Å; angles 90.00, 90.00, 90.00 degrees
Element x y z (fractional)
Ba 0.0000 0.0000 0.0000
Li 0.0000 0.5000 0.5000
Li 0.5000 0.0000 0.5000
Ni 0.5000 0.5000 0.5000
Ge 0.5000 0.5000 0.0000

> The lowest D(E_F) belongs to which entry?

YBe2Br